This record from Alexandria via LeMat-Bulk describes a relaxed LiSn2Rh2 crystal. The functional is PBE.

Lattice parameters (Å, degrees): 4.275 4.275 11.620 90.00 90.00 90.00
Fractional coordinates of all 10 atoms:
Li: 0.000 0.000 0.000
Li: 0.500 0.500 0.500
Sn: 0.000 0.000 0.377
Sn: 0.000 0.000 0.623
Sn: 0.500 0.500 0.123
Sn: 0.500 0.500 0.877
Rh: 0.000 0.500 0.250
Rh: 0.000 0.500 0.750
Rh: 0.500 0.000 0.250
Rh: 0.500 0.000 0.750

ΔE to the lowest computed polymorph   0.96 eV/f.u.
Space-group type   I4/mmm, No. 139


This record from Alexandria via LeMat-Bulk describes a relaxed LiSn2Rh2 crystal. The functional is PBE.

Lattice parameters (Å, degrees): 7.631 7.631 3.086 90.00 90.00 90.00
Fractional coordinates of all 10 atoms:
Li: 0.000 0.000 0.000
Li: 0.500 0.500 0.000
Sn: 0.158 0.342 0.500
Sn: 0.342 0.842 0.500
Sn: 0.658 0.158 0.500
Sn: 0.842 0.658 0.500
Rh: 0.140 0.640 0.000
Rh: 0.360 0.140 0.000
Rh: 0.640 0.860 0.000
Rh: 0.860 0.360 0.000

ΔE to the lowest computed polymorph   0.00 eV/f.u.
Space-group type   P4/mbm, No. 127


This record from Alexandria via LeMat-Bulk describes a relaxed LiSnRh2 crystal. The functional is PBE.

Lattice parameters (Å, degrees): 4.355 4.355 3.178 90.00 90.00 90.00
Fractional coordinates of all 4 atoms:
Li: 0.000 0.000 0.000
Sn: 0.500 0.500 0.000
Rh: 0.000 0.500 0.500
Rh: 0.500 0.000 0.500

Space-group type   P4/mmm, No. 123


This record from Alexandria via LeMat-Bulk describes a relaxed Li2Sn2Rh3 crystal. The functional is PBE.

Lattice parameters (Å, degrees): 7.827 4.510 7.116 90.00 110.91 90.00
Fractional coordinates of all 14 atoms:
Li: 0.133 0.000 0.401
Li: 0.367 0.500 0.599
Li: 0.633 0.500 0.401
Li: 0.867 0.000 0.599
Sn: 0.100 0.500 0.797
Sn: 0.400 0.000 0.203
Sn: 0.600 0.000 0.797
Sn: 0.900 0.500 0.203
Rh: 0.000 0.000 0.000
Rh: 0.234 0.500 0.204
Rh: 0.266 0.000 0.796
Rh: 0.500 0.500 0.000
Rh: 0.734 0.000 0.204
Rh: 0.766 0.500 0.796

Space-group type   C2/m, No. 12


This record from Alexandria via LeMat-Bulk describes a relaxed LiSn5Rh3 crystal. The functional is PBE.

Lattice parameters (Å, degrees): 5.483 9.865 12.939 90.00 90.00 90.00
Fractional coordinates of all 36 atoms:
Li: 0.093 0.109 0.250
Li: 0.093 0.391 0.750
Li: 0.907 0.609 0.250
Li: 0.907 0.891 0.750
Sn: 0.127 0.674 0.613
Sn: 0.127 0.674 0.887
Sn: 0.127 0.826 0.113
Sn: 0.127 0.826 0.387
Sn: 0.342 0.076 0.750
Sn: 0.342 0.424 0.250
Sn: 0.366 0.127 0.064
Sn: 0.366 0.127 0.436
Sn: 0.366 0.373 0.564
Sn: 0.366 0.373 0.936
Sn: 0.634 0.627 0.064
Sn: 0.634 0.627 0.436
Sn: 0.634 0.873 0.564
Sn: 0.634 0.873 0.936
Sn: 0.658 0.576 0.750
Sn: 0.658 0.924 0.250
Sn: 0.873 0.174 0.613
Sn: 0.873 0.174 0.887
Sn: 0.873 0.326 0.113
Sn: 0.873 0.326 0.387
Rh: 0.149 0.552 0.078
Rh: 0.149 0.552 0.422
Rh: 0.149 0.948 0.578
Rh: 0.149 0.948 0.922
Rh: 0.406 0.695 0.250
Rh: 0.406 0.805 0.750
Rh: 0.594 0.195 0.250
Rh: 0.594 0.305 0.750
Rh: 0.851 0.052 0.078
Rh: 0.851 0.052 0.422
Rh: 0.851 0.448 0.578
Rh: 0.851 0.448 0.922

ΔE to the lowest computed polymorph   0.00 eV/f.u.
Space-group type   Pbcm, No. 57


This record from Alexandria via LeMat-Bulk describes a relaxed LiSn4Rh7 crystal. The functional is PBE.

Lattice parameters (Å, degrees): 6.776 6.776 9.365 125.25 125.25 38.45
Fractional coordinates of all 12 atoms:
Li: 0.000 0.000 0.000
Sn: 0.281 0.281 0.661
Sn: 0.421 0.421 0.211
Sn: 0.579 0.579 0.789
Sn: 0.719 0.719 0.339
Rh: 0.076 0.076 0.311
Rh: 0.213 0.213 0.867
Rh: 0.362 0.362 0.438
Rh: 0.500 0.500 0.000
Rh: 0.638 0.638 0.562
Rh: 0.787 0.787 0.133
Rh: 0.924 0.924 0.689

Space-group type   C2/m, No. 12


Number 1: volume 212 Å³ per cell, spin magnetization 0.0 μB per formula unit, formation energy from the elements -0.303 eV per atom. Number 2: volume 180 Å³ per cell, spin magnetization 0.0 μB per formula unit, formation energy from the elements -0.495 eV per atom. Number 3: volume 60 Å³ per cell, spin magnetization 0.0 μB per formula unit, formation energy from the elements -0.462 eV per atom. Number 4: volume 235 Å³ per cell, spin magnetization 0.0 μB per formula unit, formation energy from the elements -0.425 eV per atom. Number 5: volume 700 Å³ per cell, spin magnetization 0.0 μB per formula unit, formation energy from the elements -0.483 eV per atom. Number 6: volume 212 Å³ per cell, spin magnetization 0.0 μB per formula unit, formation energy from the elements -0.238 eV per atom.